(1)
ThTlAg2 (PBE, optimized geometry); final energy = -3.85 eV per atom; formation enthalpy at 0 K = 0.020 eV per atom
1.0
-3.224 -1.216 -0.437
0.765 -2.744 1.988
-2.412 4.052 6.521
Tl Ag Th
1 2 1
direct
0.500 0.500 0.500
0.000 0.000 0.737
0.000 0.000 0.263
0.500 0.500 0.000



(2)
TmThAg2 (PBE, optimized geometry); final energy = -4.59 eV per atom; formation enthalpy at 0 K = -0.187 eV per atom
1.0
-3.538 -0.116 0.149
0.188 -2.375 2.623
0.030 5.787 5.237
Tm Ag Th
1 2 1
direct
0.500 0.500 0.000
0.000 0.000 0.776
0.000 0.000 0.224
0.500 0.500 0.500



(3)
Tm2ThAg (PBE, optimized geometry); final energy = -4.95 eV per atom; formation enthalpy at 0 K = -0.150 eV per atom
1.0
-1.509 -1.332 2.984
-2.942 -0.876 -1.879
3.285 -7.457 -1.666
Tm Ag Th
2 1 1
direct
0.000 0.000 0.785
0.000 0.000 0.215
0.500 0.500 0.000
0.500 0.500 0.500



(4)
TmThAg (PBE, optimized geometry); final energy = -5.03 eV per atom; formation enthalpy at 0 K = -0.115 eV per atom
1.0
-1.841 -5.433 0.079
3.644 1.713 -4.086
3.517 0.411 5.337
Th Tm Ag
2 2 2
direct
0.665 0.335 0.000
0.335 0.665 0.000
0.854 0.854 0.707
0.146 0.146 0.293
0.750 0.250 0.500
0.250 0.750 0.500



(5)
TmThAg (PBE, optimized geometry); final energy = -5.03 eV per atom; formation enthalpy at 0 K = -0.112 eV per atom
1.0
-2.328 -2.454 1.146
1.946 -2.567 -1.543
3.558 1.829 5.578
Tm Ag Th
1 1 1
direct
0.316 0.316 0.631
0.678 0.678 0.356
0.007 0.007 0.013



(6)
Tm2ThAg3 (PBE, optimized geometry); final energy = -4.39 eV per atom; formation enthalpy at 0 K = -0.238 eV per atom
1.0
3.555 0.000 0.000
0.000 3.555 0.000
0.000 0.000 11.408
Tm Th Ag
2 1 3
direct
0.500 0.500 0.841
0.500 0.500 0.159
0.500 0.500 0.500
0.000 0.000 0.000
0.000 0.000 0.688
0.000 0.000 0.312